Record 1
This record from the Alexandria database describes Ac2PmMg after structural relaxation. The functional is PBE-GGA.

Cell: 3.770 3.770 13.344 Å, 81.88 81.88 60.00°
Atoms (fractional coordinates):
Ac1 0.089 0.089 0.732
Ac2 0.911 0.911 0.268
Mg1 0.000 0.000 0.000
Pm1 0.500 0.500 0.500

## Properties
energy relative to the lowest polymorph listed for this composition: 0.2666 eV per atom
crystal system: trigonal
space group: R-3m, No. 166
raw total energy: -13.6 eV for the cell shown

Record 2
This record from the Alexandria database describes AcPm5Mg6 after structural relaxation. The functional is PBE-GGA.

Cell: 5.525 7.818 8.736 Å, 90.00 71.55 90.00°
Atoms (fractional coordinates):
Pm1 0.333 0.000 0.334
Pm2 0.664 0.500 0.670
Pm3 0.667 0.000 0.666
Pm4 0.000 0.500 0.000
Pm5 0.336 0.500 0.330
Mg1 0.170 0.743 0.659
Mg2 0.830 0.743 0.341
Mg3 0.500 0.261 0.000
Mg4 0.170 0.257 0.659
Mg5 0.500 0.739 0.000
Mg6 0.830 0.257 0.341
Ac1 0.000 0.000 0.000

## Properties
crystal system: orthorhombic
space group: Cmmm, No. 65
raw total energy: -38.6 eV for the cell shown

Record 3
This record from the Alexandria database describes Ac2Pm2Mg after structural relaxation. The functional is PBE-GGA.

Cell: 3.895 3.895 12.463 Å, 98.99 98.99 90.00°
Atoms (fractional coordinates):
Ac1 0.407 0.407 0.815
Ac2 0.593 0.593 0.185
Mg1 0.000 0.000 0.000
Pm1 0.201 0.201 0.402
Pm2 0.799 0.799 0.598

## Properties
crystal system: tetragonal
space group: I4/mmm, No. 139
raw total energy: -19.3 eV for the cell shown

Record 4
This record from the Alexandria database describes AcPmMg6 after structural relaxation. The functional is PBE-GGA.

Cell: 5.226 6.860 6.860 Å, 114.42 90.00 90.00°
Atoms (fractional coordinates):
Mg1 0.500 0.869 0.560
Mg2 0.500 0.922 0.078
Mg3 0.000 0.634 0.949
Mg4 0.000 0.587 0.413
Mg5 0.000 0.051 0.366
Mg6 0.500 0.440 0.131
Pm1 0.000 0.108 0.892
Ac1 0.500 0.389 0.611

## Properties
crystal system: orthorhombic
space group: Amm2, No. 38
raw total energy: -18.9 eV for the cell shown

Record 5
This record from the Alexandria database describes AcPm2Mg9 after structural relaxation. The functional is PBE-GGA.

Cell: 6.150 6.150 10.583 Å, 73.11 73.11 60.00°
Atoms (fractional coordinates):
Mg1 0.500 0.500 0.500
Mg2 0.080 0.586 0.747
Mg3 0.586 0.586 0.747
Mg4 0.586 0.080 0.747
Mg5 0.414 0.920 0.253
Mg6 0.414 0.414 0.253
Mg7 0.666 0.666 0.003
Mg8 0.920 0.414 0.253
Mg9 0.334 0.334 0.997
Ac1 0.000 0.000 0.000
Pm1 0.146 0.146 0.563
Pm2 0.854 0.854 0.437

## Properties
crystal system: trigonal
space group: R-3m, No. 166
raw total energy: -29.0 eV for the cell shown

Record 6
This record from the Alexandria database describes AcPm3Mg6 after structural relaxation. The functional is PBE-GGA.

Cell: 5.454 9.541 11.619 Å, 106.31 90.00 90.00°
Atoms (fractional coordinates):
Mg1 0.750 0.738 0.506
Mg2 0.750 0.349 0.298
Mg3 0.250 0.150 0.194
Mg4 0.250 0.055 0.909
Mg5 0.250 0.262 0.494
Mg6 0.250 0.651 0.702
Mg7 0.750 0.154 0.714
Mg8 0.750 0.556 0.904
Mg9 0.750 0.850 0.806
Mg10 0.250 0.846 0.286
Mg11 0.750 0.945 0.091
Mg12 0.250 0.444 0.096
Pm1 0.750 0.459 0.610
Pm2 0.750 0.246 0.004
Pm3 0.250 0.353 0.798
Pm4 0.250 0.541 0.390
Pm5 0.250 0.754 0.996
Pm6 0.750 0.647 0.202
Ac1 0.250 0.948 0.605
Ac2 0.750 0.052 0.395

## Properties
crystal system: monoclinic
space group: P2_1/m, No. 11
raw total energy: -57.2 eV for the cell shown

Record 7
This record from the Alexandria database describes Ac2PmMg after structural relaxation. The functional is PBE-GGA.

Cell: 5.945 5.945 5.945 Å, 60.00 60.00 60.00°
Atoms (fractional coordinates):
Ac1 0.250 0.250 0.250
Ac2 0.750 0.750 0.750
Mg1 0.000 0.000 0.000
Pm1 0.500 0.500 0.500

## Properties
energy relative to the lowest polymorph listed for this composition: 0.0665 eV per atom
crystal system: cubic
space group: Fm-3m, No. 225
raw total energy: -14.4 eV for the cell shown

Record 8
This record from the Alexandria database describes AcPm2Mg2 after structural relaxation. The functional is PBE-GGA.

Cell: 3.866 4.035 10.782 Å, 79.22 90.00 90.00°
Atoms (fractional coordinates):
Ac1 0.000 0.000 0.000
Pm1 0.000 0.185 0.631
Pm2 0.000 0.815 0.369
Mg1 0.500 0.601 0.797
Mg2 0.500 0.399 0.203

## Properties
crystal system: orthorhombic
space group: Cmmm, No. 65
raw total energy: -16.5 eV for the cell shown

DOS(E_F) for every record listed, in sequence, given in states/eV per cell: 4.78, 13.16, 5.03, 6.42, 12.07, 18.98, 5.03, 5.38.
DFT formation energy for every record listed, in sequence, given in eV per atom: 0.248, -0.096, -0.003, -0.060, -0.086, -0.066, 0.048, 0.052.